(1)
Density functional theory data (GGA-PBE) for crystalline ScTiS4 at its relaxed geometry.

Cell and atoms, written as POSCAR:
```
ScTiS4
1.0
8.389 0.000 0.000
0.000 8.479 0.000
0.000 0.000 3.582
Sc Ti S
2 2 8
direct
0.000 0.000 0.000 Sc
0.500 0.500 0.000 Sc
0.000 0.500 0.500 Ti
0.500 0.000 0.500 Ti
0.000 0.308 0.000 S
0.000 0.692 0.000 S
0.212 0.000 0.500 S
0.288 0.500 0.500 S
0.500 0.192 0.000 S
0.500 0.808 0.000 S
0.712 0.500 0.500 S
0.788 0.000 0.500 S
```

The total energy is -6.32 eV/atom. For the energy relative to the elements, uncorrected, the calculation gives -1.194 eV per atom. Its density of states at the Fermi level is 9.045 states/eV per cell.

=====

(2)
Density functional theory data (GGA-PBE) for crystalline KY2Ga at its relaxed geometry.

Cell and atoms, written as POSCAR:
```
KY2Ga
1.0
8.865 0.000 0.000
0.000 8.865 0.000
0.000 0.000 6.888
K Y Ga
4 8 4
direct
0.000 0.000 0.000 K
0.000 0.500 0.250 K
0.500 0.000 0.750 K
0.500 0.500 0.500 K
0.187 0.250 0.625 Y
0.250 0.687 0.875 Y
0.250 0.813 0.375 Y
0.313 0.250 0.125 Y
0.687 0.750 0.125 Y
0.750 0.187 0.375 Y
0.750 0.313 0.875 Y
0.813 0.750 0.625 Y
0.000 0.000 0.500 Ga
0.000 0.500 0.750 Ga
0.500 0.000 0.250 Ga
0.500 0.500 0.000 Ga
```

The value obtained for the energy relative to the elements is 0.26 eV per atom. The total energy is -4.00 eV/atom. Its density of states at the Fermi level is 2.470 states/eV per cell.

=====

(3)
Density functional theory data (GGA-PBE) for crystalline Pr2YHo5Er at its relaxed geometry.

Cell and atoms, written as POSCAR:
```
Pr2YHo5Er
1.0
-4.304 4.304 7.895
4.304 -4.304 7.895
4.304 4.304 -7.895
Pr Y Ho Er
4 2 10 2
direct
0.119 0.619 0.737 Pr
0.381 0.119 0.500 Pr
0.619 0.881 0.500 Pr
0.881 0.381 0.263 Pr
0.250 0.250 0.000 Y
0.750 0.750 0.000 Y
0.000 0.000 0.000 Ho
0.072 0.145 0.500 Ho
0.145 0.645 0.072 Ho
0.355 0.428 0.500 Ho
0.428 0.928 0.072 Ho
0.500 0.500 0.000 Ho
0.572 0.072 0.928 Ho
0.645 0.572 0.500 Ho
0.855 0.355 0.928 Ho
0.928 0.855 0.500 Ho
0.250 0.750 0.500 Er
0.750 0.250 0.500 Er
```

The value obtained for the energy relative to the elements is 0.27 eV per atom. The total energy is -4.56 eV/atom. Its density of states at the Fermi level is 23.846 states/eV per cell.

=====

(4)
Density functional theory data (GGA-PBE) for crystalline Tl2CuSi at its relaxed geometry.

Cell and atoms, written as POSCAR:
```
Tl2CuSi
1.0
4.708 0.000 0.000
0.000 4.708 0.000
0.000 0.000 17.393
Tl Cu Si
8 4 4
direct
0.228 0.250 0.125 Tl
0.250 0.728 0.375 Tl
0.250 0.772 0.875 Tl
0.272 0.250 0.625 Tl
0.728 0.750 0.625 Tl
0.750 0.228 0.875 Tl
0.750 0.272 0.375 Tl
0.772 0.750 0.125 Tl
0.000 0.000 0.000 Cu
0.000 0.500 0.250 Cu
0.500 0.000 0.750 Cu
0.500 0.500 0.500 Cu
0.000 0.000 0.500 Si
0.000 0.500 0.750 Si
0.500 0.000 0.250 Si
0.500 0.500 0.000 Si
```

The total energy is -2.98 eV/atom. For the energy relative to the elements, uncorrected, the calculation gives 0.585 eV per atom. Its density of states at the Fermi level is 7.169 states/eV per cell.